Crystalline Rb2TaAlCl6 at its relaxed geometry. Source: Alexandria via LeMat-Bulk, functional PBE.

abc: 10.715 10.715 10.715
angles: 90.00 90.00 90.00
Space group Fm-3m (No. 225)
Unique sites:
Rb1 0.250 0.250 0.250 [8 per cell]
Ta1 0.000 0.000 0.000 [4 per cell]
Al1 0.000 0.000 0.500 [4 per cell]
Cl1 0.000 0.000 0.232 [24 per cell]

## Properties
- Uncorrected energy: -41.07 eV per formula unit
- Total moment: 0.200 μB per atom

Crystalline Rb2AlTeCl6 at its relaxed geometry. Source: Alexandria via LeMat-Bulk, functional PBE.

abc: 8.036 8.036 10.250
angles: 90.00 90.00 90.00
Space group I4/mmm (No. 139)
Unique sites:
Rb1 0.000 0.500 0.250 [4 per cell]
Al1 0.000 0.000 0.000 [2 per cell]
Te1 0.000 0.000 0.500 [2 per cell]
Cl1 0.000 0.000 0.248 [4 per cell]
Cl2 0.201 0.201 0.000 [8 per cell]

## Properties
- Uncorrected energy: -32.77 eV per formula unit
- Total moment: 0.100 μB per atom

Crystalline RbAlTl2Cl6 at its relaxed geometry. Source: Alexandria via LeMat-Bulk, functional PBE.

abc: 7.390 7.390 6.502
angles: 90.00 90.00 90.00
Space group P4mm (No. 99)
Unique sites:
Rb1 0.000 0.000 0.000 [1 per cell]
Al1 0.500 0.500 0.086 [1 per cell]
Tl1 0.000 0.500 0.465 [2 per cell]
Cl1 0.000 0.000 0.522 [1 per cell]
Cl2 0.288 0.288 0.178 [4 per cell]
Cl3 0.500 0.500 0.751 [1 per cell]

## Properties
- Uncorrected energy: -34.35 eV per formula unit
- Total moment: 0.008 μB per atom

Crystalline RbAlTlCl6 at its relaxed geometry. Source: Alexandria via LeMat-Bulk, functional PBE.

abc: 6.9667 6.9667 7.0380
angles: 90.00 90.00 120.00
Space group P312 (No. 149)
Unique sites:
Rb1 0.0000 0.0000 0.0000 [1 per cell]
Al1 0.3333 0.6667 0.5000 [1 per cell]
Tl1 0.6667 0.3333 0.5000 [1 per cell]
Cl1 0.0559 0.4008 0.3009 [6 per cell]

## Properties
- Uncorrected energy: -30.14 eV per formula unit
- Total moment: 0.000 μB per atom

Crystalline RbAl2TlCl8 at its relaxed geometry. Source: Alexandria via LeMat-Bulk, functional PBE.

abc: 6.8589 6.8589 28.9401
angles: 90.00 90.00 120.00
Space group R-3 (No. 148, hexagonal axes)
Unique sites:
Rb1 0.0000 0.0000 0.0000 [3 per cell]
Al1 0.0000 0.0000 0.2573 [6 per cell]
Tl1 0.0000 0.0000 0.5000 [3 per cell]
Cl1 0.0000 0.0000 0.3314 [6 per cell]
Cl2 0.0113 0.6099 0.4343 [18 per cell]

## Properties
- Uncorrected energy: -44.86 eV per formula unit
- Total moment: 0.000 μB per atom

Crystalline Rb2AlTlCl6 at its relaxed geometry. Source: Alexandria via LeMat-Bulk, functional PBE.

abc: 10.804 10.804 10.804
angles: 90.00 90.00 90.00
Space group Fm-3m (No. 225)
Unique sites:
Rb1 0.250 0.250 0.250 [8 per cell]
Al1 0.000 0.000 0.000 [4 per cell]
Tl1 0.000 0.000 0.500 [4 per cell]
Cl1 0.000 0.000 0.217 [24 per cell]

## Properties
- Uncorrected energy: -35.10 eV per formula unit
- Total moment: 0.000 μB per atom

Crystalline Rb2AlVCl6 at its relaxed geometry. Source: Alexandria via LeMat-Bulk, functional PBE.

abc: 10.079 10.079 10.079
angles: 90.00 90.00 90.00
Space group Fm-3m (No. 225)
Unique sites:
Rb1 0.250 0.250 0.250 [8 per cell]
Al1 0.000 0.000 0.000 [4 per cell]
V1 0.000 0.000 0.500 [4 per cell]
Cl1 0.000 0.000 0.247 [24 per cell]

## Properties
- Uncorrected energy: -39.96 eV per formula unit
- Total moment: 0.398 μB per atom

Crystalline RbAlV2Cl at its relaxed geometry. Source: Alexandria via LeMat-Bulk, functional PBE.

abc: 4.765 4.765 5.785
angles: 90.00 90.00 90.00
Space group P4/mmm (No. 123)
Unique sites:
Rb1 0.000 0.000 0.000 [1 per cell]
Al1 0.500 0.500 0.000 [1 per cell]
V1 0.000 0.500 0.500 [2 per cell]
Cl1 0.000 0.000 0.500 [1 per cell]

## Properties
- Uncorrected energy: -20.42 eV per formula unit
- Total moment: 1.345 μB per atom

Crystalline RbAlVCl6 at its relaxed geometry. Source: Alexandria via LeMat-Bulk, functional PBE.

abc: 6.3274 6.3274 14.8442
angles: 90.00 90.00 120.00
Space group P-31c (No. 163)
Unique sites:
Rb1 0.0000 0.0000 0.0000 [2 per cell]
Al1 0.3333 0.6667 0.2500 [2 per cell]
V1 0.3333 0.6667 0.7500 [2 per cell]
Cl1 0.0151 0.3767 0.1590 [12 per cell]

## Properties
- Uncorrected energy: -38.52 eV per formula unit
- Total moment: 0.333 μB per atom

Crystalline RbAl2VCl8 at its relaxed geometry. Source: Alexandria via LeMat-Bulk, functional PBE.

abc: 6.4257 6.4257 28.6270
angles: 90.00 90.00 120.00
Space group R-3 (No. 148, hexagonal axes)
Unique sites:
Rb1 0.0000 0.0000 0.0000 [3 per cell]
Al1 0.0000 0.0000 0.2448 [6 per cell]
V1 0.0000 0.0000 0.5000 [3 per cell]
Cl1 0.0000 0.0000 0.3205 [6 per cell]
Cl2 0.0064 0.3480 0.8883 [18 per cell]

## Properties
- Uncorrected energy: -48.51 eV per formula unit
- Total moment: 0.332 μB per atom

Crystalline Rb2AlWCl6 at its relaxed geometry. Source: Alexandria via LeMat-Bulk, functional PBE.

abc: 10.619 10.619 10.619
angles: 90.00 90.00 90.00
Space group Fm-3m (No. 225)
Unique sites:
Rb1 0.250 0.250 0.250 [8 per cell]
Al1 0.000 0.000 0.000 [4 per cell]
W1 0.000 0.000 0.500 [4 per cell]
Cl1 0.000 0.000 0.268 [24 per cell]

## Properties
- Uncorrected energy: -40.78 eV per formula unit
- Total moment: 0.300 μB per atom

Crystalline Rb2YAlCl6 at its relaxed geometry. Source: Alexandria via LeMat-Bulk, functional PBE.

abc: 11.099 11.099 11.099
angles: 90.00 90.00 90.00
Space group Fm-3m (No. 225)
Unique sites:
Rb1 0.250 0.250 0.250 [8 per cell]
Y1 0.000 0.000 0.000 [4 per cell]
Al1 0.000 0.000 0.500 [4 per cell]
Cl1 0.000 0.000 0.238 [24 per cell]

## Properties
- Uncorrected energy: -40.89 eV per formula unit
- Total moment: 0.000 μB per atom